{"formula": "Ti2VB2", "functional": "PBE-GGA", "state": "relaxed", "formation_enthalpy_0k_kcal_per_mol_atoms": -13.7, "e_above_lowest_polymorph_mev_per_atom": 39, "lattice_angstrom": [[3.199, 0.000, 0.000], [0.000, 4.859, 0.000], [0.000, 0.000, 7.233]], "species": ["Ti", "Ti", "Ti", "Ti", "V", "V", "B", "B", "B", "B"], "fractional_positions": [[0.000, 0.000, 0.209], [0.000, 0.000, 0.791], [0.500, 0.500, 0.291], [0.500, 0.500, 0.709], [0.000, 0.500, 0.000], [0.500, 0.000, 0.500], [0.000, 0.316, 0.500], [0.000, 0.684, 0.500], [0.500, 0.184, 0.000], [0.500, 0.816, 0.000]]}

{"formula": "TbAlCr2Se6", "functional": "PBE-GGA", "state": "relaxed", "raw_formation_energy_ev_per_atom": -0.846, "lattice_angstrom": [[3.310, 1.911, 5.942], [-3.310, 1.911, 5.942], [0.000, -3.822, 5.942]], "species": ["Tb", "Al", "Cr", "Cr", "Se", "Se", "Se", "Se", "Se", "Se"], "fractional_positions": [[0.000, 0.000, 0.000], [0.494, 0.494, 0.494], [0.301, 0.301, 0.301], [0.806, 0.806, 0.806], [0.088, 0.673, 0.441], [0.209, 0.566, 0.903], [0.441, 0.088, 0.673], [0.566, 0.903, 0.209], [0.673, 0.441, 0.088], [0.903, 0.209, 0.566]]}